Record 1
# YOs3O PBE-GGA optimized geometry
data_YOs3O
_cell_length_a 5.0174
_cell_length_b 5.0174
_cell_length_c 5.0174
_cell_angle_alpha 90.00
_cell_angle_beta 90.00
_cell_angle_gamma 90.00
_symmetry_space_group_name_H-M 'P m -3 m'
_symmetry_Int_Tables_number 221
_symmetry_space_group_name_Hall '-P 4 2 3'
loop_
_atom_site_label
_atom_site_type_symbol
_atom_site_fract_x
_atom_site_fract_y
_atom_site_fract_z
_atom_site_occupancy
Y1 Y 0.0000 0.0000 0.0000 1
Os1 Os 0.0000 0.0000 0.5000 1
O1 O 0.5000 0.5000 0.5000 1
# - Formation energy from raw total energies: 17.72 eV per formula unit
# - ρ: 8.9 g/cm3
# - D(E_F): 0.953 states/eV/atom
# - M_tot: 7.17 μB per formula unit

Record 2
# Y5Os2O12 PBE-GGA optimized geometry
data_Y5Os2O12
_cell_length_a 12.5898
_cell_length_b 5.6682
_cell_length_c 7.5151
_cell_angle_alpha 90.00
_cell_angle_beta 107.61
_cell_angle_gamma 90.00
_symmetry_space_group_name_H-M 'C 1 2/m 1'
_symmetry_Int_Tables_number 12
loop_
_symmetry_equiv_pos_as_xyz
'x,y,z'
'-x,-y,-z'
'-x,y,-z'
'x,-y,z'
'x+1/2,y+1/2,z'
'-x+1/2,-y+1/2,-z'
'-x+1/2,y+1/2,-z'
'x+1/2,-y+1/2,z'
loop_
_atom_site_label
_atom_site_type_symbol
_atom_site_fract_x
_atom_site_fract_y
_atom_site_fract_z
_atom_site_occupancy
Y1 Y 0.0000 0.0000 0.0000 1
Y2 Y 0.1880 0.5000 0.3291 1
Y3 Y 0.1987 0.5000 0.8581 1
Os1 Os 0.0000 0.2189 0.5000 1
O1 O 0.0009 0.0000 0.2971 1
O2 O 0.0010 0.5000 0.6735 1
O3 O 0.1527 0.2514 0.0730 1
O4 O 0.1657 0.2527 0.5851 1
# - Formation energy from raw total energies: -51.11 eV per formula unit
# - ρ: 6.6 g/cm3
# - D(E_F): 0.318 states/eV/atom
# - M_tot: 0.77 μB per formula unit

Record 3
# YOsO4 PBE-GGA optimized geometry
data_YOsO4
_cell_length_a 7.7131
_cell_length_b 5.3462
_cell_length_c 7.4069
_cell_angle_alpha 90.00
_cell_angle_beta 99.85
_cell_angle_gamma 90.00
_symmetry_space_group_name_H-M 'P 1 21/c 1'
_symmetry_Int_Tables_number 14
loop_
_symmetry_equiv_pos_as_xyz
'x,y,z'
'-x,-y,-z'
'-x,y+1/2,-z+1/2'
'x,-y+1/2,z+1/2'
loop_
_atom_site_label
_atom_site_type_symbol
_atom_site_fract_x
_atom_site_fract_y
_atom_site_fract_z
_atom_site_occupancy
Y1 Y 0.1471 0.2146 0.3917 1
Os1 Os 0.3403 0.7294 0.2031 1
O1 O 0.1129 0.5237 0.1770 1
O2 O 0.1888 0.0149 0.1210 1
O3 O 0.3319 0.6303 0.9474 1
O4 O 0.4492 0.0799 0.8020 1
# - Formation energy from raw total energies: -12.29 eV per formula unit
# - ρ: 7.6 g/cm3
# - D(E_F): 0.394 states/eV/atom
# - M_tot: 0.00 μB per formula unit